Entry 1:
A relaxed RuIN2 crystal. Source: Alexandria, functional PBE.

N(E_F) (states/eV/f.u.): 3.0
ΔE to the lowest computed polymorph (meV/atom): 171
Uncorrected formation energy (eV per formula unit): 3.98

Unit cell a=6.6976 b=6.6976 c=6.6976 alpha=27.90 beta=27.90 gamma=27.90
Last column: nearest neighbours and their distance in Å.
Fractional positions:
Ru 0.0000 0.0000 0.0000  6 N 2.10
I 0.5000 0.5000 0.5000  2 N 2.26
N 0.3830 0.3830 0.3830  3 Ru 2.10, 1 I 2.26
N 0.6170 0.6170 0.6170  3 Ru 2.10, 1 I 2.26



Entry 2:
A relaxed MgSc4Hg5 crystal. Source: Alexandria, functional PBE.

N(E_F) (states/eV/f.u.): 8.7
Formation energy from the elements (meV/atom): -392.6

Unit cell a=3.5197 b=3.5197 c=17.4779 alpha=90.00 beta=90.00 gamma=90.00
Last column: nearest neighbours and their distance in Å.
Fractional positions:
Mg 0.0000 0.0000 0.0000  8 Hg 3.04
Sc 0.0000 0.0000 0.1970  8 Hg 3.02-3.07
Sc 0.0000 0.0000 0.3993  8 Hg 3.03-3.05
Sc 0.0000 0.0000 0.6007  8 Hg 3.03-3.05
Sc 0.0000 0.0000 0.8030  8 Hg 3.02-3.07
Hg 0.5000 0.5000 0.0994  4 Sc 3.02, 4 Mg 3.04
Hg 0.5000 0.5000 0.3001  8 Sc 3.03-3.07
Hg 0.5000 0.5000 0.5000  8 Sc 3.05
Hg 0.5000 0.5000 0.6999  8 Sc 3.03-3.07
Hg 0.5000 0.5000 0.9006  4 Sc 3.02, 4 Mg 3.04



- Among the records above, which one has the lowest N(E_F)?
  RuIN2



- Which value of N(E_F) does entry 2 give?
  8.7 states/eV/f.u.



- Which formula does entry 1 have?
  RuIN2



- Which value of N(E_F) does entry 2 give?
  8.7 states/eV/f.u.